Record 1
VASP calculation (PBE) on a relaxed structure of Sc3TcPt.

It has space group Pm-3m (No. 221), with a = 4.975 Å, b = 4.975 Å, c = 4.975 Å, α = 90.00°, β = 90.00° and γ = 90.00°. The distinct sites, in fractional coordinates, are Sc at (0.000, 0.000, 0.500), Tc at (0.500, 0.500, 0.500) and Pt at (0.000, 0.000, 0.000).

For the polymorph energy (0 for the lowest one), the calculation gives 162 meV/atom.

=====

Record 2
VASP calculation (PBE) on a relaxed structure of Li5In3.

It has space group I4/mcm (No. 140), with a = 10.906 Å, b = 10.906 Å, c = 5.394 Å, α = 90.00°, β = 90.00° and γ = 90.00°. The distinct sites, in fractional coordinates, are Li at (0.000, 0.500, 0.250), Li at (0.074, 0.233, 0.000), In at (0.000, 0.000, 0.250) and In at (0.173, 0.327, 0.500).

For the polymorph energy (0 for the lowest one), the calculation gives 78 meV/atom.

=====

- Which formula does entry 2 have?
  Li5In3

=====

- What is the formula in the second record?
  Li5In3

=====

- Number 1 is which compound?
  Sc3TcPt